# Rb2HfIr2 (PBE-GGA, relaxed)
data_Rb2HfIr2
_chemical_formula_sum 'Rb4 Hf2 Ir4'
_cell_length_a 6.722
_cell_length_b 6.722
_cell_length_c 6.083
_cell_angle_alpha 90.00
_cell_angle_beta 90.00
_cell_angle_gamma 90.00
_space_group_name_H-M_alt 'P 4/m b m'
_space_group_IT_number 127
_space_group_name_Hall '-P 4 2ab'
loop_
_atom_site_label
_atom_site_type_symbol
_atom_site_fract_x
_atom_site_fract_y
_atom_site_fract_z
Rb1 Rb 0.174 0.326 0.000
Hf1 Hf 0.000 0.000 0.500
Ir1 Ir 0.131 0.631 0.500
# polymorph energy (0 for the lowest one)	0	kJ/mol of formula units
# theoretical density	8.867	Mg/m³
# E_tot	-5.50	eV/atom

---

# Li5CuAu6 (PBE-GGA, relaxed)
data_Li5CuAu6
_chemical_formula_sum 'Li10 Cu2 Au12'
_cell_length_a 13.719
_cell_length_b 6.378
_cell_length_c 4.367
_cell_angle_alpha 90.00
_cell_angle_beta 106.37
_cell_angle_gamma 90.00
_space_group_name_H-M_alt 'C 1 2/m 1'
_space_group_IT_number 12
_space_group_name_Hall '-C 2y'
loop_
_atom_site_label
_atom_site_type_symbol
_atom_site_fract_x
_atom_site_fract_y
_atom_site_fract_z
Li1 Li 0.000 0.000 0.000
Li2 Li 0.166 0.500 0.667
Li3 Li 0.167 0.000 0.667
Cu1 Cu 0.000 0.500 0.000
Au1 Au 0.000 0.249 0.500
Au2 Au 0.167 0.251 0.167
# theoretical density	11.595	Mg/m³
# E_tot	-3.24	eV/atom

---

> What is the formula in the first record?

Rb2HfIr2